# 1
First-principles (PBE-GGA) data for Pm5Dy2Ho4 after structural relaxation, as listed in the Alexandria database.

Geometry as extended XYZ:
```
11
Lattice="-1.7582 4.5531 11.7273 1.7582 -4.5531 11.7273 1.7582 4.5531 -11.7273" Properties=species:S:1:pos:R:3 pbc="T T T"
Pm 0.0000 0.0000 0.0000
Pm 1.7582 1.8268 -3.4260
Pm 1.7582 1.8268 3.4260
Pm 0.0000 2.7263 8.3013
Pm 0.0000 2.7263 15.1532
Dy 1.7582 0.0000 6.3178
Dy 0.0000 4.5531 5.4095
Ho 1.7582 2.8439 0.0000
Ho 1.7582 0.0000 9.4592
Ho 0.0000 4.5531 2.2681
Ho 0.0000 1.7092 11.7273
```

D(E_F) (states/eV per cell): 17.3
Excess energy over the best structure of this formula in the dataset (eV per atom): 0.130



# 2
First-principles (PBE-GGA) data for PmDy5Ho5 after structural relaxation, as listed in the Alexandria database.

Geometry as extended XYZ:
```
11
Lattice="6.0490 0.0000 0.0000 -3.0245 5.2386 0.0000 0.0000 0.0000 11.5427" Properties=species:S:1:pos:R:3 pbc="T T T"
Pm 0.0000 0.0000 0.0000
Dy 0.0000 0.0000 3.7354
Dy 0.0000 0.0000 7.8072
Dy 0.0000 3.4924 1.8168
Dy 0.0000 3.4924 9.7259
Dy 3.0245 1.7462 0.0000
Ho -1.5051 2.6234 5.7713
Ho 1.5051 2.6234 5.7713
Ho 0.0000 5.2304 5.7713
Ho 3.0245 1.7462 3.0570
Ho 3.0245 1.7462 8.4856
```

D(E_F) (states/eV per cell): 20.1
Excess energy over the best structure of this formula in the dataset (eV per atom): 0.177



# 3
First-principles (PBE-GGA) data for Pm4DyHo15 after structural relaxation, as listed in the Alexandria database.

Geometry as extended XYZ:
```
20
Lattice="5.0240 0.0000 0.0000 0.0000 5.0240 0.0000 0.0000 0.0000 25.0469" Properties=species:S:1:pos:R:3 pbc="T T T"
Pm 0.0000 0.0000 2.5113
Pm 0.0000 0.0000 7.5265
Pm 0.0000 0.0000 17.5204
Pm 0.0000 0.0000 22.5356
Dy 0.0000 0.0000 12.5235
Ho 0.0000 2.5120 0.0000
Ho 0.0000 2.5120 5.0216
Ho 0.0000 2.5120 10.0454
Ho 0.0000 2.5120 15.0016
Ho 0.0000 2.5120 20.0254
Ho 2.5120 0.0000 0.0000
Ho 2.5120 0.0000 5.0216
Ho 2.5120 0.0000 10.0454
Ho 2.5120 0.0000 15.0016
Ho 2.5120 0.0000 20.0254
Ho 2.5120 2.5120 2.5091
Ho 2.5120 2.5120 7.5350
Ho 2.5120 2.5120 12.5235
Ho 2.5120 2.5120 17.5119
Ho 2.5120 2.5120 22.5379
```

D(E_F) (states/eV per cell): 26.4
Raw total energy (eV per atom): -4.594